The following is a DFT calculation (PBE) of a geometry-optimized Ba2Bi2S structure.

Values from the calculation:
energy above the most stable polymorph in this dataset: 15.8 kJ/mol of atoms

Unit cell a=8.6680 b=8.6680 c=5.0446 alpha=90.00 beta=90.00 gamma=90.00
Last column: nearest neighbours and their distance in Å.
Sites, in units of the cell vectors:
1 S 0.0000 0.0000 0.0000  4 Bi 3.45
2 S 0.5000 0.5000 0.0000  4 Bi 3.45
3 Bi 0.8786 0.6214 0.0000  1 Bi 2.98
4 Bi 0.6214 0.1214 0.0000  1 Bi 2.98
5 Bi 0.1214 0.3786 0.0000  1 Bi 2.98
6 Bi 0.3786 0.8786 0.0000  1 Bi 2.98
7 Ba 0.6815 0.8185 0.5000  6 Bi 3.49-3.68
8 Ba 0.3185 0.1815 0.5000  6 Bi 3.49-3.68
9 Ba 0.1815 0.6815 0.5000  6 Bi 3.49-3.68
10 Ba 0.8185 0.3185 0.5000  6 Bi 3.49-3.68


The following is a DFT calculation (PBE) of a geometry-optimized Ac2Sb3Pt4Pb structure.

Values from the calculation:
VASP energy: -5.69 eV per atom

Unit cell a=4.7274 b=4.7274 c=10.9534 alpha=90.00 beta=90.00 gamma=90.00
Last column: nearest neighbours and their distance in Å.
Sites, in units of the cell vectors:
1 Pb 0.5000 0.5000 0.5000  4 Pt 2.80
2 Pt 0.5000 0.0000 0.6371  3 Sb 2.62-2.80, 2 Pb 2.80
3 Pt 0.5000 0.5000 0.0000  4 Sb 2.73
4 Pt 0.0000 0.5000 0.3629  3 Sb 2.62-2.80, 2 Pb 2.80
5 Pt 0.0000 0.0000 0.0000  4 Sb 2.73
6 Ac 0.0000 0.5000 0.7663  8 Pt 3.48-3.63, 6 Sb 3.55-3.75, 2 Pb 3.75
7 Ac 0.5000 0.0000 0.2337  8 Pt 3.48-3.63, 6 Sb 3.55-3.75, 2 Pb 3.75
8 Sb 0.0000 0.5000 0.1241  5 Pt 2.62-2.73
9 Sb 0.5000 0.0000 0.8759  5 Pt 2.62-2.73
10 Sb 0.0000 0.0000 0.5000  4 Pt 2.80


no.,ρ (g/cm3)
1,6.35
2,12.26